# PrSm2Y6Sc3

An optimized crystal structure of PrSm2Y6Sc3 (PBE-GGA, Alexandria via LeMat-Bulk).

Lattice parameters (Å, degrees): 6.119 10.598 11.581 90.00 100.14 90.00
Space group C2/m (No. 12)
Asymmetric unit:
Pr 0.000 0.000 0.000 (multiplicity 2)
Sm 0.000 0.333 0.000 (multiplicity 4)
Y 0.246 0.000 0.738 (multiplicity 4)
Y 0.246 0.333 0.738 (multiplicity 8)
Sc 0.000 0.167 0.500 (multiplicity 4)
Sc 0.000 0.500 0.500 (multiplicity 2)

## Properties
E_form: 52.2 meV per atom
Crystal system: monoclinic

# RbBeNi2Os

An optimized crystal structure of RbBeNi2Os (PBE-GGA, Alexandria via LeMat-Bulk).

Lattice parameters (Å, degrees): 4.576 4.576 6.239 90.00 90.00 90.00
Space group P4/mmm (No. 123)
Asymmetric unit:
Rb 0.000 0.000 0.000 (multiplicity 1)
Be 0.500 0.500 0.000 (multiplicity 1)
Ni 0.000 0.500 0.500 (multiplicity 2)
Os 0.000 0.000 0.500 (multiplicity 1)

## Properties
E_form: 1864.1 meV per atom
Crystal system: tetragonal

# Ac2Ni4Sn3Ir

An optimized crystal structure of Ac2Ni4Sn3Ir (PBE-GGA, Alexandria via LeMat-Bulk).

Lattice parameters (Å, degrees): 4.444 4.444 10.494 90.00 90.00 90.00
Space group P-4m2 (No. 115)
Asymmetric unit:
Ac 0.000 0.500 0.245 (multiplicity 2)
Ni 0.000 0.000 0.500 (multiplicity 1)
Ni 0.000 0.500 0.873 (multiplicity 2)
Ni 0.500 0.500 0.500 (multiplicity 1)
Sn 0.000 0.000 0.000 (multiplicity 1)
Sn 0.000 0.500 0.622 (multiplicity 2)
Ir 0.500 0.500 0.000 (multiplicity 1)

## Properties
E_form: -410.8 meV per atom
Crystal system: tetragonal

# HfTaIrS2

An optimized crystal structure of HfTaIrS2 (PBE-GGA, Alexandria via LeMat-Bulk).

Lattice parameters (Å, degrees): 4.606 4.606 4.953 90.00 90.00 90.00
Space group P4/mmm (No. 123)
Asymmetric unit:
Hf 0.000 0.000 0.000 (multiplicity 1)
Ta 0.500 0.500 0.000 (multiplicity 1)
Ir 0.000 0.000 0.500 (multiplicity 1)
S 0.000 0.500 0.500 (multiplicity 2)

## Properties
Crystal system: tetragonal
E above lowest polymorph: 14.3 kJ/mol of atoms

# YAg2Rh

An optimized crystal structure of YAg2Rh (PBE-GGA, Alexandria via LeMat-Bulk).

Lattice parameters (Å, degrees): 4.038 4.038 4.604 90.00 90.00 90.00
Space group P4/mmm (No. 123)
Asymmetric unit:
Y 0.000 0.000 0.000 (multiplicity 1)
Ag 0.000 0.500 0.500 (multiplicity 2)
Rh 0.500 0.500 0.000 (multiplicity 1)

## Properties
E_form: -375.3 meV per atom
Crystal system: tetragonal
E above lowest polymorph: 2.1 kJ/mol of atoms

# ZrGa2Ni2

An optimized crystal structure of ZrGa2Ni2 (PBE-GGA, Alexandria via LeMat-Bulk).

Lattice parameters (Å, degrees): 4.771 8.561 8.163 90.00 106.94 90.00
Space group C2/c (No. 15)
Asymmetric unit:
Zr 0.000 0.125 0.250 (multiplicity 4)
Ga 0.123 0.374 0.999 (multiplicity 8)
Ni 0.000 0.204 0.750 (multiplicity 4)
Ni 0.000 0.455 0.250 (multiplicity 4)

## Properties
E_form: -360.2 meV per atom
Crystal system: monoclinic

no.,uncorrected energy (eV/atom)
1,-5.9475
2,-3.6331
3,-5.6320
4,-6.8859
5,-5.2548
6,-5.5931